Entry from Alexandria via LeMat-Bulk: ReAu2Br after structural relaxation (PBE).

E_form (uncorrected) ... 463 kJ/mol of formula units

a b c (Å): 4.834 3.966 3.966
angles (deg): 90.00 90.00 90.00
Fractional coordinates of all 4 atoms:
1 Re 0.500 0.000 0.500
2 Au 0.000 0.000 0.000
3 Au 0.000 0.500 0.500
4 Br 0.500 0.500 0.000

Entry from Alexandria via LeMat-Bulk: CrCdSi after structural relaxation (PBE).

E_form (uncorrected) ... 113 kJ/mol of formula units

a b c (Å): 2.887 2.887 6.761
angles (deg): 90.00 90.00 120.00
Fractional coordinates of all 3 atoms:
1 Cr 0.667 0.333 0.361
2 Si 0.333 0.667 0.630
3 Cd 0.000 0.000 0.009

Entry from Alexandria via LeMat-Bulk: PrGd2Ti after structural relaxation (PBE).

a b c (Å): 3.425 3.425 9.883
angles (deg): 90.00 90.00 90.00
Fractional coordinates of all 4 atoms:
1 Gd 0.000 0.000 0.788
2 Gd 0.000 0.000 0.212
3 Ti 0.500 0.500 0.000
4 Pr 0.500 0.500 0.500

Entry from Alexandria via LeMat-Bulk: TmTaS after structural relaxation (PBE).

E_form (uncorrected) ... -154 kJ/mol of formula units

a b c (Å): 5.203 3.679 9.411
angles (deg): 90.00 90.00 134.99
Fractional coordinates of all 6 atoms:
1 Ta 0.612 0.224 0.500
2 Ta 0.610 0.219 0.000
3 S 0.611 0.222 0.753
4 S 0.611 0.222 0.247
5 Tm 0.111 0.223 0.286
6 Tm 0.111 0.223 0.714

Entry from Alexandria via LeMat-Bulk: HoCo4Ge2 after structural relaxation (PBE).

a b c (Å): 3.689 7.250 7.250
angles (deg): 90.00 90.00 90.00
Fractional coordinates of all 14 atoms:
1 Co 0.000 0.920 0.647
2 Co 0.500 0.580 0.147
3 Co 0.500 0.420 0.853
4 Co 0.500 0.853 0.420
5 Co 0.000 0.353 0.080
6 Co 0.500 0.147 0.580
7 Co 0.000 0.647 0.920
8 Co 0.000 0.080 0.353
9 Ho 0.500 0.000 0.000
10 Ho 0.000 0.500 0.500
11 Ge 0.000 0.777 0.223
12 Ge 0.500 0.277 0.277
13 Ge 0.500 0.723 0.723
14 Ge 0.000 0.223 0.777

Entry from Alexandria via LeMat-Bulk: Sr2Cd2In after structural relaxation (PBE).

a b c (Å): 4.149 4.149 10.410
angles (deg): 78.50 78.50 90.00
Fractional coordinates of all 5 atoms:
1 In 0.000 0.000 0.000
2 Cd 0.250 0.750 0.500
3 Cd 0.750 0.250 0.500
4 Sr 0.600 0.600 0.800
5 Sr 0.400 0.400 0.200

Entry from Alexandria via LeMat-Bulk: TbMgPd after structural relaxation (PBE).

a b c (Å): 3.988 7.564 13.370
angles (deg): 90.00 90.00 90.00
Fractional coordinates of all 18 atoms:
1 Mg 0.500 0.435 0.376
2 Mg 0.500 0.435 0.124
3 Mg 0.500 0.205 0.750
4 Mg 0.500 0.565 0.624
5 Mg 0.500 0.795 0.250
6 Mg 0.500 0.565 0.876
7 Pd 0.000 0.447 0.750
8 Pd 0.500 0.059 0.401
9 Pd 0.500 0.059 0.099
10 Pd 0.000 0.553 0.250
11 Pd 0.500 0.941 0.599
12 Pd 0.500 0.941 0.901
13 Tb 0.000 0.773 0.044
14 Tb 0.000 0.150 0.250
15 Tb 0.000 0.773 0.456
16 Tb 0.000 0.227 0.956
17 Tb 0.000 0.227 0.544
18 Tb 0.000 0.850 0.750

VASP energy? In order: -15.874; -14.794; -40.149; -44.091; -89.948; -8.999; -80.304 eV for the cell shown.